No. 1
VASP calculation (PBE) on TaCr after structural relaxation.

a b c (Å): 6.7000 6.7000 6.7000
angles (deg): 92.72 92.72 154.83
With the nearest neighbours (Å) after each atom.
Atoms (fractional coordinates):
Ta: 0.1569 0.1569 0.3138  4 Cr 2.73, 6 Ta 2.84-2.92
Ta: 0.1569 0.8431 0.0000  4 Cr 2.73, 6 Ta 2.84-2.92
Ta: 0.8431 0.1569 0.0000  4 Cr 2.73, 6 Ta 2.84-2.92
Ta: 0.8431 0.8431 0.6862  4 Cr 2.73, 6 Ta 2.84-2.92
Cr: 0.1498 0.5000 0.6498  4 Cr 2.44, 4 Ta 2.73
Cr: 0.5000 0.1498 0.6498  4 Cr 2.44, 4 Ta 2.73
Cr: 0.5000 0.8502 0.3502  4 Cr 2.44, 4 Ta 2.73
Cr: 0.8502 0.5000 0.3502  4 Cr 2.44, 4 Ta 2.73

- mass density (Mg/m³) = 12.4
- calculated total energy (eV/atom) = -10.53
- space-group type = No. 139
- formation enthalpy at 0 K (eV/atom) = 0.21


No. 2
VASP calculation (PBE) on TaCrTc2 after structural relaxation.

a b c (Å): 3.0820 3.0820 6.2236
angles (deg): 90.00 90.00 90.00
With the nearest neighbours (Å) after each atom.
Atoms (fractional coordinates):
Ta: 0.0000 0.0000 0.0000  4 Cr 2.69, 5 Tc 2.69-2.97
Cr: 0.5000 0.5000 0.7468  4 Tc 2.59, 4 Ta 2.69
Tc: 0.0000 0.0000 0.5232  4 Cr 2.59, 4 Tc 2.75
Tc: 0.5000 0.5000 0.2547  4 Ta 2.69, 4 Tc 2.75

- mass density (Mg/m³) = 12.0
- calculated total energy (eV/atom) = -10.62
- space-group type = No. 99
- formation enthalpy at 0 K (eV/atom) = -0.06


No. 3
VASP calculation (PBE) on Ta2CrTc after structural relaxation.

a b c (Å): 2.7899 2.7899 8.6486
angles (deg): 90.00 90.00 110.77
With the nearest neighbours (Å) after each atom.
Atoms (fractional coordinates):
Ta: 0.0000 0.0000 0.0000  2 Cr 2.62, 6 Ta 2.79-2.89
Ta: 0.5000 0.5000 0.2788  2 Tc 2.73, 6 Ta 2.79-2.89
Cr: 0.5000 0.5000 0.7592  2 Tc 2.50, 2 Ta 2.62, 4 Cr 2.79
Tc: 0.0000 0.0000 0.5355  2 Cr 2.50, 2 Ta 2.73, 4 Tc 2.79

- mass density (Mg/m³) = 13.5
- calculated total energy (eV/atom) = -10.92
- space-group type = No. 35
- formation enthalpy at 0 K (eV/atom) = 0.00


No. 4
VASP calculation (PBE) on Ta2CrTc after structural relaxation.

a b c (Å): 5.1234 5.1234 2.8169
angles (deg): 101.14 101.14 114.45
With the nearest neighbours (Å) after each atom.
Atoms (fractional coordinates):
Ta: 0.0000 0.5000 0.0000  2 Cr 2.67, 2 Tc 2.67, 4 Ta 2.77-2.82
Ta: 0.5000 0.0000 0.0000  2 Cr 2.67, 2 Tc 2.67, 4 Ta 2.77-2.82
Cr: 0.0000 0.0000 0.5000  4 Ta 2.67, 2 Tc 2.77, 2 Cr 2.82
Tc: 0.5000 0.5000 0.5000  4 Ta 2.67, 2 Cr 2.77, 2 Tc 2.82

- mass density (Mg/m³) = 13.5
- calculated total energy (eV/atom) = -10.99
- space-group type = No. 12
- formation enthalpy at 0 K (eV/atom) = -0.06


No. 5
VASP calculation (PBE) on TaCrTc2 after structural relaxation.

a b c (Å): 9.1919 9.1919 9.1919
angles (deg): 17.33 17.33 17.33
With the nearest neighbours (Å) after each atom.
Atoms (fractional coordinates):
Ta: 0.0000 0.0000 0.0000  6 Ta 2.77, 3 Cr 2.84, 3 Tc 2.93
Cr: 0.7529 0.7529 0.7529  3 Tc 2.61, 6 Cr 2.77, 3 Ta 2.84
Tc: 0.2430 0.2430 0.2430  9 Tc 2.72-2.77, 3 Ta 2.93
Tc: 0.4954 0.4954 0.4954  3 Cr 2.61, 9 Tc 2.72-2.77

- mass density (Mg/m³) = 11.8
- calculated total energy (eV/atom) = -10.30
- space-group type = No. 160
- formation enthalpy at 0 K (eV/atom) = 0.25


No. 6
VASP calculation (PBE) on TaCrTc2 after structural relaxation.

a b c (Å): 5.0755 5.0755 4.4744
angles (deg): 116.02 116.02 35.28
With the nearest neighbours (Å) after each atom.
Atoms (fractional coordinates):
Ta: 0.0000 0.0000 0.0000  4 Tc 2.69, 4 Cr 2.71
Cr: 0.5000 0.5000 0.5000  4 Tc 2.59, 4 Ta 2.71
Tc: 0.2427 0.2427 0.7424  2 Cr 2.59, 2 Ta 2.69, 4 Tc 2.72
Tc: 0.7573 0.7573 0.2576  2 Cr 2.59, 2 Ta 2.69, 4 Tc 2.72

- mass density (Mg/m³) = 12.1
- calculated total energy (eV/atom) = -10.59
- space-group type = No. 12
- formation enthalpy at 0 K (eV/atom) = -0.04


No. 7
VASP calculation (PBE) on TaCrTc2 after structural relaxation.

a b c (Å): 3.1023 3.1023 6.1712
angles (deg): 90.00 90.00 90.00
With the nearest neighbours (Å) after each atom.
Atoms (fractional coordinates):
Ta: 0.0000 0.0000 0.0000  8 Tc 2.72
Cr: 0.0000 0.0000 0.5000  8 Tc 2.64
Tc: 0.5000 0.5000 0.2609  4 Cr 2.64, 4 Ta 2.72, 1 Tc 2.95
Tc: 0.5000 0.5000 0.7391  4 Cr 2.64, 4 Ta 2.72, 1 Tc 2.95

- mass density (Mg/m³) = 12.0
- calculated total energy (eV/atom) = -10.69
- space-group type = No. 123
- formation enthalpy at 0 K (eV/atom) = -0.13


No. 8
VASP calculation (PBE) on Ta2CrTc after structural relaxation.

a b c (Å): 3.1384 3.1384 6.3749
angles (deg): 90.00 90.00 90.00
With the nearest neighbours (Å) after each atom.
Atoms (fractional coordinates):
Ta: 0.0000 0.0000 0.0000  4 Cr 2.70, 4 Ta 2.84, 1 Tc 2.99
Ta: 0.5000 0.5000 0.2792  4 Tc 2.74, 4 Ta 2.84, 1 Cr 3.06
Cr: 0.5000 0.5000 0.7585  4 Tc 2.65, 4 Ta 2.70
Tc: 0.0000 0.0000 0.5308  4 Cr 2.65, 4 Ta 2.74

- mass density (Mg/m³) = 13.5
- calculated total energy (eV/atom) = -11.03
- space-group type = No. 99
- formation enthalpy at 0 K (eV/atom) = -0.11